Below is a relaxed CaNd2Fe crystal, with properties calculated at the PBE level.

Calculated values
crystal system	tetragonal
VASP energy	-4.85	eV per atom
magnetic moment	0.34	μB/atom

Structure (extended XYZ):
```
4
Lattice="3.567 0.000 0.000 0.000 3.567 0.000 0.000 0.000 9.454" Properties=species:S:1:pos:R:3 pbc="T T T"
Ca 0.000 0.000 0.000
Nd 1.784 1.784 3.057
Nd 1.784 1.784 6.397
Fe 0.000 0.000 4.727
```

---

Below is a relaxed ZrSi4Ni crystal, with properties calculated at the PBE level.

Calculated values
formation energy from raw total energies	-27	meV per atom
crystal system	cubic
magnetic moment	0.00	μB/atom

Structure (extended XYZ):
```
6
Lattice="0.000 3.510 3.510 3.510 0.000 3.510 3.510 3.510 0.000" Properties=species:S:1:pos:R:3 pbc="T T T"
Zr 0.000 0.000 0.000
Si 4.378 2.642 2.642
Si 2.642 4.378 2.642
Si 2.642 2.642 4.378
Si 4.378 4.378 4.378
Ni 1.755 1.755 1.755
```

---

Below is a relaxed La7SmI12 crystal, with properties calculated at the PBE level.

Calculated values
formation energy from raw total energies	-1151	meV per atom
crystal system	trigonal
magnetic moment	0.13	μB/atom

Structure (extended XYZ):
```
20
Lattice="8.354 4.823 3.621 -8.354 4.823 3.621 0.000 -9.646 3.621" Properties=species:S:1:pos:R:3 pbc="T T T"
La 0.000 0.000 0.000
La -2.398 -0.665 3.578
La 1.775 -1.744 3.578
La 0.623 2.409 3.578
La -0.623 -2.409 7.284
La -1.775 1.744 7.284
La 2.398 0.665 7.284
Sm 0.000 0.000 5.431
I -0.705 -2.717 1.637
I -2.000 1.969 1.637
I -3.187 -3.277 5.381
I -4.431 1.121 5.481
I 2.706 0.748 1.637
I 1.244 -4.398 5.481
I -1.244 4.398 5.381
I -2.706 -0.748 9.226
I 4.431 -1.121 5.381
I 3.187 3.277 5.481
I 2.000 -1.969 9.226
I 0.705 2.717 9.226
```

---

Below is a relaxed RuF crystal, with properties calculated at the PBE level.

Calculated values
ΔE to the lowest computed polymorph	420.8	meV/atom
formation energy from raw total energies	-264	meV per atom
crystal system	orthorhombic
magnetic moment	0.16	μB/atom

Structure (extended XYZ):
```
12
Lattice="7.916 0.000 0.000 0.000 4.246 0.000 0.000 0.000 5.140" Properties=species:S:1:pos:R:3 pbc="T T T"
Ru 0.000 0.528 0.000
Ru 1.821 0.294 2.915
Ru 2.138 3.951 0.345
Ru 3.958 3.718 2.570
Ru 5.779 3.951 0.345
Ru 6.096 0.294 2.915
F 0.000 1.164 2.115
F 1.833 1.910 0.345
F 2.126 2.336 2.915
F 3.958 3.082 4.685
F 5.791 2.336 2.915
F 6.084 1.910 0.345
```

---

Below is a relaxed KMg6In12 crystal, with properties calculated at the PBE level.

Calculated values
crystal system	trigonal
VASP energy	-2.30	eV per atom
magnetic moment	0.00	μB/atom

Structure (extended XYZ):
```
19
Lattice="6.634 3.830 3.442 -6.634 3.830 3.442 0.000 -7.661 3.442" Properties=species:S:1:pos:R:3 pbc="T T T"
K 0.000 0.000 0.000
Mg -2.714 -1.567 5.847
Mg 0.000 -3.133 4.478
Mg -2.714 1.567 4.478
Mg 2.714 -1.567 5.847
Mg 0.000 3.133 5.847
Mg 2.714 1.567 4.478
In -2.578 -4.465 5.163
In -5.156 0.000 5.163
In -1.659 -0.958 3.035
In 1.659 -0.958 3.035
In 0.000 1.915 3.035
In 2.578 -4.465 5.163
In -2.578 4.465 5.163
In 0.000 -1.915 7.291
In -1.659 0.958 7.291
In 1.659 0.958 7.291
In 5.156 0.000 5.163
In 2.578 4.465 5.163
```

---

Below is a relaxed La3HgO crystal, with properties calculated at the PBE level.

Calculated values
ΔE to the lowest computed polymorph	278.7	meV/atom
formation energy from raw total energies	-1085	meV per atom
crystal system	trigonal
magnetic moment	0.20	μB/atom

Structure (extended XYZ):
```
10
Lattice="3.661 2.114 7.725 -3.661 2.114 7.725 0.000 -4.228 7.725" Properties=species:S:1:pos:R:3 pbc="T T T"
La -2.536 -0.164 9.656
La -1.126 -2.278 13.519
La 1.410 -2.114 9.656
La -1.410 2.114 13.519
La 1.126 2.278 9.656
La 2.536 0.164 13.519
Hg 0.000 0.000 0.000
Hg 0.000 0.000 11.587
O 0.000 0.000 5.794
O 0.000 0.000 17.381
```

---

Below is a relaxed NdUP2Rh5 crystal, with properties calculated at the PBE level.

Calculated values
crystal system	tetragonal
VASP energy	-7.32	eV per atom
magnetic moment	0.39	μB/atom

Structure (extended XYZ):
```
9
Lattice="4.413 0.000 0.000 0.000 4.413 0.000 0.000 0.000 9.936" Properties=species:S:1:pos:R:3 pbc="T T T"
Nd 0.000 0.000 0.000
U 2.207 2.207 4.968
P 2.207 2.207 2.372
P 2.207 2.207 7.564
Rh 0.000 2.207 2.082
Rh 0.000 2.207 7.853
Rh 2.207 0.000 2.082
Rh 2.207 0.000 7.853
Rh 2.207 2.207 0.000
```

---

Below is a relaxed MgIrRu crystal, with properties calculated at the PBE level.

Calculated values
ΔE to the lowest computed polymorph	317.2	meV/atom
crystal system	orthorhombic
magnetic moment	0.36	μB/atom

Structure (extended XYZ):
```
3
Lattice="0.000 2.355 6.829 1.430 0.000 6.829 1.430 2.355 0.000" Properties=species:S:1:pos:R:3 pbc="T T T"
Mg 0.000 0.000 0.000
Ir 1.430 2.355 4.549
Ru 1.430 2.355 9.141
```

---

Below is a relaxed Pr3Sn5Te12 crystal, with properties calculated at the PBE level.

Calculated values
formation energy from raw total energies	-600	meV per atom
crystal system	cubic
magnetic moment	0.00	μB/atom

Structure (extended XYZ):
```
80
Lattice="-9.088 9.088 9.088 9.088 -9.088 9.088 9.088 9.088 -9.088" Properties=species:S:1:pos:R:3 pbc="T T T"
Pr 4.544 2.272 0.000
Pr 9.088 4.544 -2.272
Pr 2.272 0.000 4.544
Pr 11.360 0.000 4.544
Pr 0.000 4.544 2.272
Pr 4.544 -2.272 9.088
Pr 4.544 11.360 0.000
Pr 9.088 4.544 6.816
Pr -2.272 9.088 4.544
Pr 6.816 9.088 4.544
Pr 0.000 4.544 11.360
Pr 4.544 6.816 9.088
Sn 0.000 0.000 0.000
Sn 4.544 4.544 -4.544
Sn 4.544 -4.544 4.544
Sn 9.088 0.000 0.000
Sn 13.632 2.272 0.000
Sn 9.088 -4.544 6.816
Sn 6.816 9.088 -4.544
Sn 6.816 0.000 4.544
Sn 4.544 6.816 0.000
Sn 9.088 4.544 2.272
Sn -4.544 4.544 4.544
Sn 0.000 9.088 0.000
Sn 0.000 0.000 9.088
Sn 4.544 4.544 4.544
Sn 0.000 4.544 6.816
Sn 4.544 2.272 9.088
Sn 2.272 9.088 4.544
Sn 2.272 0.000 13.632
Sn 0.000 13.632 2.272
Sn -4.544 6.816 9.088
Te 2.803 -0.337 1.224
Te 10.829 5.768 -4.881
Te 11.890 0.337 1.224
Te 10.829 -3.320 4.881
Te 8.751 -1.224 2.803
Te 13.969 -1.741 3.320
Te 1.224 2.803 -0.337
Te 12.407 4.207 -1.741
Te 5.768 4.881 -1.741
Te 7.864 2.803 0.337
Te -0.337 1.224 2.803
Te 4.881 -1.741 5.768
Te 8.751 7.864 -2.803
Te 4.881 1.741 3.320
Te 5.768 -4.881 10.829
Te 7.864 -2.803 8.751
Te 3.320 4.881 1.741
Te 10.312 6.285 0.337
Te 4.881 10.829 -3.320
Te 8.751 1.224 6.285
Te 2.803 8.751 -1.224
Te 10.829 3.320 4.207
Te 1.741 3.320 4.881
Te 2.803 0.337 7.864
Te 6.285 8.751 1.224
Te 7.347 5.768 4.207
Te -1.741 5.768 4.881
Te 6.285 0.337 10.312
Te 0.337 7.864 2.803
Te 4.207 -1.741 12.407
Te -1.224 2.803 8.751
Te 5.768 4.207 7.347
Te 1.224 11.890 0.337
Te 3.320 13.969 -1.741
Te 4.207 7.347 5.768
Te 0.337 1.224 11.890
Te 4.207 10.829 3.320
Te 9.425 7.864 6.285
Te 1.224 6.285 8.751
Te 3.320 4.207 10.829
Te -3.320 4.881 10.829
Te 7.864 6.285 9.425
Te -4.881 10.829 5.768
Te 0.337 10.312 6.285
Te -1.741 12.407 4.207
Te -2.803 8.751 7.864
Te -1.741 3.320 13.969
Te 6.285 9.425 7.864
```

---

Below is a relaxed Ac2LaHg crystal, with properties calculated at the PBE level.

Calculated values
ΔE to the lowest computed polymorph	198.7	meV/atom
crystal system	cubic
magnetic moment	0.39	μB/atom

Structure (extended XYZ):
```
4
Lattice="0.000 4.131 4.131 4.131 0.000 4.131 4.131 4.131 0.000" Properties=species:S:1:pos:R:3 pbc="T T T"
Ac 2.065 2.065 2.065
Ac 6.196 6.196 6.196
La 0.000 0.000 0.000
Hg 4.131 4.131 4.131
```

---

Below is a relaxed Tm9Sc4Cd11 crystal, with properties calculated at the PBE level.

Calculated values
crystal system	orthorhombic
VASP energy	-3.37	eV per atom
magnetic moment	0.06	μB/atom

Structure (extended XYZ):
```
24
Lattice="7.718 -11.154 0.000 7.718 11.154 0.000 0.000 0.000 3.442" Properties=species:S:1:pos:R:3 pbc="T T T"
Tm 0.000 0.000 0.000
Tm 5.974 5.844 0.000
Tm 5.825 1.893 0.000
Tm 9.462 5.844 0.000
Tm 5.825 -1.893 0.000
Tm 9.611 1.893 0.000
Tm 5.974 -5.844 0.000
Tm 9.611 -1.893 0.000
Tm 9.462 -5.844 0.000
Sc 2.398 2.024 0.000
Sc 2.398 -2.024 0.000
Sc 13.038 2.024 0.000
Sc 13.038 -2.024 0.000
Cd 4.084 3.965 1.721
Cd 7.718 8.160 1.721
Cd 3.839 0.000 1.721
Cd 7.718 3.784 1.721
Cd 4.084 -3.965 1.721
Cd 7.718 0.000 1.721
Cd 11.352 3.965 1.721
Cd 7.718 -3.784 1.721
Cd 11.597 0.000 1.721
Cd 7.718 -8.160 1.721
Cd 11.352 -3.965 1.721
```

---

Below is a relaxed NdLuIr2 crystal, with properties calculated at the PBE level.

Calculated values
ΔE to the lowest computed polymorph	25.4	meV/atom
crystal system	tetragonal
magnetic moment	0.00	μB/atom

Structure (extended XYZ):
```
4
Lattice="4.780 0.000 0.000 0.000 4.780 0.000 0.000 0.000 3.607" Properties=species:S:1:pos:R:3 pbc="T T T"
Nd 0.000 0.000 0.000
Lu 2.390 2.390 0.000
Ir 0.000 2.390 1.804
Ir 2.390 0.000 1.804
```

---

Q: Which formula does entry 3 have?
A: La7SmI12